VASP calculation (PBE) on an optimized crystal structure of SmCuGe.

Lattice parameters (Å, degrees): 4.7207 4.7207 4.7207 60.00 60.00 60.00
Atoms (fractional coordinates):
Ge1 0.7500 0.7500 0.7500
Cu1 0.2500 0.2500 0.2500
Sm1 0.0000 0.0000 0.0000

size of the total moment	0.00	μB/cell
final energy	-0.15606	Ha/atom


VASP calculation (PBE) on an optimized crystal structure of Sm2Cu2SnGe.

Lattice parameters (Å, degrees): 4.4034 4.4034 7.6827 90.00 90.00 120.00
Atoms (fractional coordinates):
Sm1 0.6667 0.3333 0.2547
Cu1 0.0000 0.0000 0.5042
Sm2 0.6667 0.3333 0.7741
Ge1 0.0000 0.0000 0.0213
Cu2 0.3333 0.6667 0.0059
Sn1 0.3333 0.6667 0.5207

size of the total moment	0.02	μB/cell
final energy	-0.17836	Ha/atom


VASP calculation (PBE) on an optimized crystal structure of Tb2SmCu4Sn2Ge2.

Lattice parameters (Å, degrees): 8.3190 8.3190 8.3190 149.52 132.08 57.86
Atoms (fractional coordinates):
Cu1 0.0293 0.3409 0.6884
Cu2 0.3475 0.6591 0.6884
Cu3 0.6525 0.3409 0.3116
Ge1 0.6885 0.5000 0.1885
Ge2 0.3115 0.5000 0.8115
Tb1 0.6257 0.1257 0.5000
Sn1 0.2187 0.2187 0.0000
Sm1 0.0000 0.0000 0.0000
Tb2 0.3743 0.8743 0.5000
Sn2 0.7813 0.7813 0.0000
Cu4 0.9707 0.6591 0.3116

energy above the most stable polymorph in this dataset	0.0000	eV/atom
size of the total moment	0.00	μB/cell


VASP calculation (PBE) on an optimized crystal structure of Tb2SmCu4Sn2Ge2.

Lattice parameters (Å, degrees): 8.2818 8.2818 8.2818 149.90 130.15 59.34
Atoms (fractional coordinates):
Tb1 0.6366 0.1366 0.5000
Cu1 0.9892 0.6750 0.3142
Sn1 0.6986 0.5000 0.1986
Tb2 0.3634 0.8634 0.5000
Cu2 0.6392 0.3250 0.3142
Sm1 0.0000 0.0000 0.0000
Sn2 0.3014 0.5000 0.8014
Cu3 0.3608 0.6750 0.6858
Ge1 0.2176 0.2176 0.0000
Ge2 0.7824 0.7824 0.0000
Cu4 0.0108 0.3250 0.6858

energy above the most stable polymorph in this dataset	0.0734	eV/atom
size of the total moment	0.00	μB/cell


VASP calculation (PBE) on an optimized crystal structure of Sm2YCu4Sn2Ge2.

Lattice parameters (Å, degrees): 8.3470 8.3470 8.3470 149.27 132.48 57.66
Atoms (fractional coordinates):
Cu1 0.8469 0.6593 0.1876
Y1 0.5000 0.0000 0.5000
Ge1 0.1918 0.5000 0.6918
Cu2 0.1531 0.3407 0.8124
Cu3 0.4717 0.6593 0.8124
Sm1 0.8731 0.8731 0.0000
Sn1 0.7166 0.2166 0.5000
Sn2 0.2834 0.7834 0.5000
Sm2 0.1269 0.1269 0.0000
Cu4 0.5283 0.3407 0.1876
Ge2 0.8082 0.5000 0.3082

size of the total moment	0.00	μB/cell
final energy	-0.18254	Ha/atom


VASP calculation (PBE) on an optimized crystal structure of TbSmCu2Ge2.

Lattice parameters (Å, degrees): 4.2677 4.2677 7.5273 90.00 90.00 120.00
Atoms (fractional coordinates):
Cu1 0.3333 0.6667 0.9737
Ge1 0.6667 0.3333 0.0097
Cu2 0.6667 0.3333 0.4839
Tb1 0.0000 0.0000 0.7470
Sm1 0.0000 0.0000 0.2462
Ge2 0.3333 0.6667 0.5185

size of the total moment	0.01	μB/cell
final energy	-0.18447	Ha/atom


VASP calculation (PBE) on an optimized crystal structure of Sm2TmCu4Ge4.

Lattice parameters (Å, degrees): 8.0725 8.0725 8.0725 149.37 131.39 58.56
Atoms (fractional coordinates):
Ge1 0.3056 0.5000 0.8056
Ge2 0.7849 0.7849 0.0000
Ge3 0.6944 0.5000 0.1944
Cu1 0.9799 0.6676 0.3123
Sm1 0.6311 0.1311 0.5000
Cu2 0.0201 0.3324 0.6877
Ge4 0.2151 0.2151 0.0000
Cu3 0.6446 0.3324 0.3123
Cu4 0.3554 0.6676 0.6877
Tm1 0.0000 0.0000 0.0000
Sm2 0.3689 0.8689 0.5000

size of the total moment	0.00	μB/cell
final energy	-0.18045	Ha/atom


VASP calculation (PBE) on an optimized crystal structure of SmTm2Cu4Ge4.

Lattice parameters (Å, degrees): 8.0116 8.0116 8.0116 149.83 130.34 59.22
Atoms (fractional coordinates):
Ge1 0.6872 0.5000 0.1872
Sm1 0.0000 0.0000 0.0000
Ge2 0.7814 0.7814 0.0000
Cu1 0.9780 0.6687 0.3093
Cu2 0.6405 0.3313 0.3093
Tm1 0.3698 0.8698 0.5000
Cu3 0.0220 0.3313 0.6907
Ge3 0.3128 0.5000 0.8128
Cu4 0.3595 0.6687 0.6907
Tm2 0.6302 0.1302 0.5000
Ge4 0.2186 0.2186 0.0000

size of the total moment	0.00	μB/cell
final energy	-0.18006	Ha/atom


VASP calculation (PBE) on an optimized crystal structure of SmY2Cu4Ge4.

Lattice parameters (Å, degrees): 8.0623 8.0623 8.0623 149.68 130.75 58.94
Atoms (fractional coordinates):
Ge1 0.3112 0.5000 0.8112
Sm1 0.0000 0.0000 0.0000
Cu1 0.6428 0.3315 0.3113
Cu2 0.0202 0.3315 0.6887
Ge2 0.2178 0.2178 0.0000
Ge3 0.7822 0.7822 0.0000
Cu3 0.9798 0.6685 0.3113
Cu4 0.3572 0.6685 0.6887
Y1 0.6303 0.1303 0.5000
Y2 0.3697 0.8697 0.5000
Ge4 0.6888 0.5000 0.1888

size of the total moment	0.00	μB/cell
final energy	-0.19380	Ha/atom


VASP calculation (PBE) on an optimized crystal structure of Sm2YCu4Ge4.

Lattice parameters (Å, degrees): 8.0987 8.0987 8.0987 149.41 131.34 58.57
Atoms (fractional coordinates):
Ge1 0.6925 0.5000 0.1925
Cu1 0.9800 0.6677 0.3123
Cu2 0.0200 0.3323 0.6877
Cu3 0.6445 0.3323 0.3123
Ge2 0.3075 0.5000 0.8075
Sm1 0.3687 0.8687 0.5000
Sm2 0.6313 0.1313 0.5000
Y1 0.0000 0.0000 0.0000
Ge3 0.2157 0.2157 0.0000
Cu4 0.3555 0.6677 0.6877
Ge4 0.7843 0.7843 0.0000

size of the total moment	0.00	μB/cell
final energy	-0.18755	Ha/atom


VASP calculation (PBE) on an optimized crystal structure of SmYCu2Ge2.

Lattice parameters (Å, degrees): 4.2599 4.2599 7.5021 90.00 90.00 120.00
Atoms (fractional coordinates):
Cu1 0.3333 0.6667 0.9846
Y1 0.0000 0.0000 0.2472
Ge1 0.6667 0.3333 0.0178
Cu2 0.6667 0.3333 0.4737
Ge2 0.3333 0.6667 0.5094
Sm1 0.0000 0.0000 0.7462

size of the total moment	0.01	μB/cell
final energy	-0.19586	Ha/atom


VASP calculation (PBE) on an optimized crystal structure of CuSnGe2.

Lattice parameters (Å, degrees): 4.7788 4.7788 4.7788 60.00 60.00 60.00
Atoms (fractional coordinates):
Ge1 0.7500 0.7500 0.7500
Cu1 0.2500 0.2500 0.2500
Sn1 0.5000 0.5000 0.5000
Ge2 0.0000 0.0000 0.0000

final energy	-0.14388	Ha/atom